Ac2PrNdBi5 | GGA-PBE | optimized geometry

Cell lengths 5.6387, 5.6387, 12.3309 Å; angles 90.00, 90.00, 90.00 degrees
Last column: nearest neighbours and their distance in Å.
Space group P4/mmm (No. 123)
Unique sites:
Ac 0.0000 0.0000 0.2208 (multiplicity 2)  1 Bi 3.44
Pr 0.5000 0.5000 0.0000 (multiplicity 1)  6 Bi 2.82-3.14
Nd 0.5000 0.5000 0.5000 (multiplicity 1)  2 Bi 3.02
Bi 0.0000 0.0000 0.5000 (multiplicity 1)  2 Ac 3.44
Bi 0.0000 0.5000 0.0000 (multiplicity 2)  2 Pr 2.82
Bi 0.5000 0.5000 0.2547 (multiplicity 2)  1 Nd 3.02, 1 Pr 3.14

Properties
Calculated formation energy (eV/atom): -0.230
Spin magnetization (μB/cell): 0.00
Raw total energy (eV per atom): -4.360